Entry 1:
A relaxed ErReB3 crystal. Source: Alexandria, functional PBE.

E_form = -0.421 eV per atom
VASP energy = -39.1 eV per formula unit
SG = Cmcm, No. 63

Lattice parameters (Å, degrees): 3.661 3.093 9.770 90.00 100.80 90.00
Fractional positions:
B 0.627 0.750 0.254
B 0.324 0.750 0.648
B 0.477 0.250 0.953
B 0.373 0.250 0.746
B 0.523 0.750 0.047
B 0.676 0.250 0.352
Er 0.925 0.750 0.849
Er 0.075 0.250 0.151
Re 0.792 0.250 0.584
Re 0.208 0.750 0.416

=====

Entry 2:
A relaxed ErRe3B3 crystal. Source: Alexandria, functional PBE.

E_form = -0.317 eV per atom
VASP energy = -64.2 eV per formula unit
SG = P6_3/m, No. 176

Lattice parameters (Å, degrees): 3.080 8.085 8.086 119.98 90.00 90.00
Fractional positions:
Re 0.750 0.930 0.693
Re 0.250 0.070 0.307
Re 0.250 0.237 0.930
Re 0.250 0.693 0.763
Re 0.750 0.307 0.237
Re 0.750 0.763 0.070
B 0.250 0.041 0.570
B 0.250 0.430 0.471
B 0.750 0.959 0.430
B 0.250 0.529 0.959
B 0.750 0.471 0.041
B 0.750 0.570 0.529
Er 0.250 0.667 0.333
Er 0.750 0.333 0.667

=====

Entry 3:
A relaxed Er2Re2B7 crystal. Source: Alexandria, functional PBE.

E_form = -0.185 eV per atom
VASP energy = -82.8 eV per formula unit
SG = Cm, No. 8

Lattice parameters (Å, degrees): 5.069 5.397 5.397 81.81 103.81 103.81
Fractional positions:
Er 0.145 0.194 0.194
Er 0.943 0.751 0.751
Re 0.525 0.778 0.197
Re 0.525 0.196 0.778
B 0.404 0.526 0.526
B 0.413 0.831 0.577
B 0.669 0.484 0.078
B 0.669 0.078 0.484
B 0.641 0.182 0.182
B 0.413 0.577 0.831
B 0.653 0.403 0.403

=====

Copy entry 3 word for word.
A relaxed Er2Re2B7 crystal. Source: Alexandria, functional PBE.

E_form = -0.185 eV per atom
VASP energy = -82.8 eV per formula unit
SG = Cm, No. 8

Lattice parameters (Å, degrees): 5.069 5.397 5.397 81.81 103.81 103.81
Fractional positions:
Er 0.145 0.194 0.194
Er 0.943 0.751 0.751
Re 0.525 0.778 0.197
Re 0.525 0.196 0.778
B 0.404 0.526 0.526
B 0.413 0.831 0.577
B 0.669 0.484 0.078
B 0.669 0.078 0.484
B 0.641 0.182 0.182
B 0.413 0.577 0.831
B 0.653 0.403 0.403

=====

What did the third record say?
A relaxed Er2Re2B7 crystal. Source: Alexandria, functional PBE.

E_form = -0.185 eV per atom
VASP energy = -82.8 eV per formula unit
SG = Cm, No. 8

Lattice parameters (Å, degrees): 5.069 5.397 5.397 81.81 103.81 103.81
Fractional positions:
Er 0.145 0.194 0.194
Er 0.943 0.751 0.751
Re 0.525 0.778 0.197
Re 0.525 0.196 0.778
B 0.404 0.526 0.526
B 0.413 0.831 0.577
B 0.669 0.484 0.078
B 0.669 0.078 0.484
B 0.641 0.182 0.182
B 0.413 0.577 0.831
B 0.653 0.403 0.403